Material: CrTcOF2
Method: DFT, PBE+U
State: optimized geometry

CIF file:
```
data_CrTcOF2
_chemical_formula_sum 'Cr1 Tc1 O1 F2'
_symmetry_space_group_name_H-M 'P 4/m m m'
_symmetry_Int_Tables_number 123
_symmetry_space_group_name_Hall '-P 4 2'
_cell_length_a 4.264
_cell_length_b 4.264
_cell_length_c 3.786
_cell_angle_alpha 90.00
_cell_angle_beta 90.00
_cell_angle_gamma 90.00
loop_
_atom_site_label
_atom_site_type_symbol
_atom_site_fract_x
_atom_site_fract_y
_atom_site_fract_z
_atom_site_occupancy
Cr1 Cr 0.000 0.000 0.000 1
Tc1 Tc 0.500 0.500 0.500 1
O1 O 0.500 0.500 0.000 1
F1 F 0.000 0.500 0.500 1
```

Properties
* energy relative to the lowest polymorph listed for this composition: 0.000 eV/atom
* mass density: 4.92 Mg/m³